Arrangement i

## SmPuOs (PBE-GGA)

Data for a relaxed structure of SmPuOs.

Lattice parameters (Å, degrees): 6.7853 6.7853 6.7853 90.00 90.00 90.00
Space group F-43m (No. 216)
Unique sites:
Sm 0.0000 0.0000 0.0000
Pu 0.0000 0.0000 0.5000
Os 0.2500 0.2500 0.2500

## Properties
V in A^3/atom: 26.03

***

Arrangement ii

## SmPuOs (PBE-GGA)

Data for a relaxed structure of SmPuOs.

Lattice parameters (Å, degrees): 3.5934 3.5934 10.9199 90.00 90.00 90.00
Space group I4mm (No. 107)
Unique sites:
Sm 0.0000 0.0000 0.0000
Pu 0.0000 0.0000 0.7134
Os 0.0000 0.0000 0.3190

## Properties
V in A^3/atom: 23.50

***

Arrangement iii

## SmPuOs (PBE-GGA)

Data for a relaxed structure of SmPuOs.

Lattice parameters (Å, degrees): 16.8849 4.0763 9.0390 90.00 101.54 90.00
Space group C2/m (No. 12)
Unique sites:
Sm 0.0257 0.0000 0.2068
Sm 0.1361 0.5000 0.6906
Pu 0.1874 0.0000 0.0266
Pu 0.1892 0.0000 0.4368
Os 0.0772 0.5000 0.9810
Os 0.2015 0.5000 0.2425

## Properties
V in A^3/atom: 25.40

***

Stability ranking, top and bottom: arrangement iii is the most stable and arrangement i is the least stable.

***

Arrangement i

## SmPu2Os (PBE-GGA)

Data for a relaxed structure of SmPu2Os.

Lattice parameters (Å, degrees): 4.7532 4.7532 14.5132 90.00 90.00 120.00
Space group R-3m (No. 166, hexagonal axes)
Unique sites:
Sm 0.0000 0.0000 0.0000
Pu 0.0000 0.0000 0.2314
Os 0.0000 0.0000 0.5000

## Properties
V in A^3/atom: 23.66

***

Arrangement ii

## SmPu2Os (PBE-GGA)

Data for a relaxed structure of SmPu2Os.

Lattice parameters (Å, degrees): 3.4554 3.4554 8.3250 90.00 90.00 90.00
Space group P4/mmm (No. 123)
Unique sites:
Sm 0.0000 0.0000 0.0000
Pu 0.5000 0.5000 0.3074
Os 0.0000 0.0000 0.5000

## Properties
V in A^3/atom: 24.85

***

Stability ranking, top and bottom: arrangement ii is the most stable and arrangement i is the least stable.

***

Arrangement i

## Tb2PuOs (PBE-GGA)

Data for a relaxed structure of Tb2PuOs.

Lattice parameters (Å, degrees): 3.3666 3.3666 32.5167 90.00 90.00 120.00
Space group R-3m (No. 166, hexagonal axes)
Unique sites:
Tb 0.0000 0.0000 0.1030
Pu 0.0000 0.0000 0.0000
Os 0.0000 0.0000 0.5000

## Properties
V in A^3/atom: 26.60

***

Arrangement ii

## Tb2PuOs (PBE-GGA)

Data for a relaxed structure of Tb2PuOs.

Lattice parameters (Å, degrees): 7.2390 9.3368 6.3079 90.00 90.00 90.00
Space group Pnma (No. 62)
Unique sites:
Tb 0.1730 0.0633 0.1724
Pu 0.0473 0.2500 0.6511
Os 0.1268 0.7500 0.9820

## Properties
V in A^3/atom: 26.65

***

Arrangement iii

## Tb2PuOs (PBE-GGA)

Data for a relaxed structure of Tb2PuOs.

Lattice parameters (Å, degrees): 3.4068 3.4068 8.8725 90.00 90.00 90.00
Space group P4/mmm (No. 123)
Unique sites:
Tb 0.0000 0.0000 0.1891
Pu 0.5000 0.5000 0.5000
Os 0.5000 0.5000 0.0000

## Properties
V in A^3/atom: 25.74

***

Stability ranking, top and bottom: arrangement ii is the most stable and arrangement i is the least stable.

***

Arrangement i

## PuTc2Os (PBE-GGA)

Data for a relaxed structure of PuTc2Os.

Lattice parameters (Å, degrees): 6.8083 4.3397 9.3171 90.00 90.00 90.00
Space group Pnma (No. 62)
Unique sites:
Pu 0.1886 0.2500 0.1885
Tc 0.1166 0.2500 0.8051
Tc 0.1622 0.7500 0.9981
Os 0.0482 0.7500 0.4394

## Properties
V in A^3/atom: 17.21

***

Arrangement ii

## PuTc2Os (PBE-GGA)

Data for a relaxed structure of PuTc2Os.

Lattice parameters (Å, degrees): 2.7978 2.7978 29.2551 90.00 90.00 120.00
Space group R-3m (No. 166, hexagonal axes)
Unique sites:
Pu 0.0000 0.0000 0.0000
Tc 0.0000 0.0000 0.0929
Os 0.0000 0.0000 0.5000

## Properties
V in A^3/atom: 16.53

***

Stability ranking, top and bottom: arrangement i is the most stable and arrangement ii is the least stable.

***

Arrangement i

## TmPuTlOs (PBE-GGA)

Data for a relaxed structure of TmPuTlOs.

Lattice parameters (Å, degrees): 7.1296 7.1296 7.1296 90.00 90.00 90.00
Space group F-43m (No. 216)
Unique sites:
Tm 0.0000 0.0000 0.0000
Pu 0.0000 0.0000 0.5000
Tl 0.2500 0.2500 0.2500
Os 0.2500 0.2500 0.7500

## Properties
V in A^3/atom: 22.65

***

Arrangement ii

## TmPuTlOs (PBE-GGA)

Data for a relaxed structure of TmPuTlOs.

Lattice parameters (Å, degrees): 3.3010 3.3010 8.4993 90.00 90.00 90.00
Space group P4mm (No. 99)
Unique sites:
Tm 0.0000 0.0000 0.0000
Pu 0.0000 0.0000 0.5933
Tl 0.5000 0.5000 0.2928
Os 0.5000 0.5000 0.7987

## Properties
V in A^3/atom: 23.15

***

Stability ranking, top and bottom: arrangement ii is the most stable and arrangement i is the least stable.

***

Arrangement i

## TmPuOs (PBE-GGA)

Data for a relaxed structure of TmPuOs.

Lattice parameters (Å, degrees): 3.2962 3.2962 12.8402 90.00 90.00 90.00
Space group I4mm (No. 107)
Unique sites:
Tm 0.0000 0.0000 0.0000
Pu 0.0000 0.0000 0.2678
Os 0.0000 0.0000 0.6331

## Properties
V in A^3/atom: 23.25

***

Arrangement ii

## TmPuOs (PBE-GGA)

Data for a relaxed structure of TmPuOs.

Lattice parameters (Å, degrees): 6.6758 6.6758 6.6758 90.00 90.00 90.00
Space group F-43m (No. 216)
Unique sites:
Tm 0.0000 0.0000 0.0000
Pu 0.0000 0.0000 0.5000
Os 0.2500 0.2500 0.7500

## Properties
V in A^3/atom: 24.79

***

Stability ranking, top and bottom: arrangement i is the most stable and arrangement ii is the least stable.

***

Arrangement i

## Pu2UOs (PBE-GGA)

Data for a relaxed structure of Pu2UOs.

Lattice parameters (Å, degrees): 4.5755 4.5755 13.1752 90.00 90.00 120.00
Space group R-3m (No. 166, hexagonal axes)
Unique sites:
Pu 0.0000 0.0000 0.2478
U 0.0000 0.0000 0.5000
Os 0.0000 0.0000 0.0000

## Properties
V in A^3/atom: 19.91

***

Arrangement ii

## Pu2UOs (PBE-GGA)

Data for a relaxed structure of Pu2UOs.

Lattice parameters (Å, degrees): 4.0662 4.0642 10.1062 90.00 90.06 90.00
Space group P2_1 (No. 4)
Unique sites:
Pu 0.2501 0.0000 0.0164
Pu 0.2499 0.9993 0.5166
U 0.2510 0.4985 0.2499
Os 0.2488 0.4967 0.7499

## Properties
V in A^3/atom: 20.88

***

Stability ranking, top and bottom: arrangement i is the most stable and arrangement ii is the least stable.

***

Arrangement i

## YPu2Os (PBE-GGA)

Data for a relaxed structure of YPu2Os.

Lattice parameters (Å, degrees): 3.3019 3.3019 32.1188 90.00 90.00 120.00
Space group R-3m (No. 166, hexagonal axes)
Unique sites:
Y 0.0000 0.0000 0.0000
Pu 0.0000 0.0000 0.1010
Os 0.0000 0.0000 0.5000

## Properties
V in A^3/atom: 25.27

***

Arrangement ii

## YPu2Os (PBE-GGA)

Data for a relaxed structure of YPu2Os.

Lattice parameters (Å, degrees): 14.6728 9.3801 5.8276 90.00 90.00 90.00
Space group Pnma (No. 62)
Unique sites:
Y 0.1074 0.2500 0.2415
Y 0.1437 0.7500 0.9813
Pu 0.0365 0.0562 0.7461
Pu 0.2130 0.5587 0.4628
Os 0.0705 0.7500 0.5000
Os 0.1777 0.2500 0.7325

## Properties
V in A^3/atom: 25.06

***

Stability ranking, top and bottom: arrangement ii is the most stable and arrangement i is the least stable.